Density functional theory data (PBE) for a relaxed structure of NbHgH2.

Unit cell a=4.2053 b=4.2053 c=6.3948 alpha=70.80 beta=70.80 gamma=90.00
Fractional coordinates of all 8 atoms:
1 H 0.4664 0.1250 0.2500
2 H 0.2836 0.6250 0.2500
3 H 0.3750 0.5336 0.7500
4 H 0.8750 0.7164 0.7500
5 Nb 0.5000 0.5000 0.0000
6 Nb 0.2500 0.7500 0.5000
7 Hg 0.0000 0.0000 0.0000
8 Hg 0.7500 0.2500 0.5000

Results
Uncorrected energy: -31.9 eV for the cell shown
Energy relative to the lowest polymorph listed for this composition: 0.000 eV per atom
Spin magnetization: 0.00 μB/f.u.